(1)
The following is a DFT calculation (GGA-PBE) of TbHo2Er2 after structural relaxation.

## Properties
Total energy (eV for the cell shown): -44.93
DOS(E_F) (states/eV/cell): 8.84
Distance to the lowest polymorph of the same formula (meV/atom): 0.0
DFT formation energy (meV/atom): 89
Volume (Å³ per cell): 312.7

Unit cell a=9.227 b=9.227 c=3.673 alpha=90.00 beta=90.00 gamma=90.00
Atoms (fractional coordinates):
Tb: 0.000 0.000 0.000
Tb: 0.500 0.500 0.000
Ho: 0.126 0.374 0.000
Ho: 0.374 0.874 0.000
Ho: 0.626 0.126 0.000
Ho: 0.874 0.626 0.000
Er: 0.171 0.671 0.500
Er: 0.329 0.171 0.500
Er: 0.671 0.829 0.500
Er: 0.829 0.329 0.500


(2)
The following is a DFT calculation (GGA-PBE) of HoHfTe4 after structural relaxation.

## Properties
Total energy (eV for the cell shown): -63.35
DOS(E_F) (states/eV/cell): 8.11
Distance to the lowest polymorph of the same formula (meV/atom): 158.9
Volume (Å³ per cell): 385.6

Unit cell a=7.244 b=7.324 c=7.272 alpha=90.00 beta=92.13 gamma=90.00
Atoms (fractional coordinates):
Ho: 0.000 0.000 0.000
Ho: 0.000 0.500 0.500
Hf: 0.500 0.000 0.500
Hf: 0.500 0.500 0.000
Te: 0.144 0.131 0.383
Te: 0.144 0.369 0.883
Te: 0.371 0.651 0.340
Te: 0.371 0.849 0.840
Te: 0.629 0.151 0.160
Te: 0.629 0.349 0.660
Te: 0.856 0.631 0.117
Te: 0.856 0.869 0.617


(3)
The following is a DFT calculation (GGA-PBE) of In2PW after structural relaxation.

## Properties
Total energy (eV for the cell shown): -45.17
DOS(E_F) (states/eV/cell): 4.00
DFT formation energy (meV/atom): 313
Volume (Å³ per cell): 168.8

Unit cell a=3.329 b=5.033 c=10.075 alpha=90.00 beta=90.00 gamma=90.00
Atoms (fractional coordinates):
In: 0.000 0.000 0.000
In: 0.000 0.500 0.295
In: 0.500 0.000 0.295
In: 0.500 0.500 0.000
P: 0.000 0.000 0.589
P: 0.500 0.500 0.589
W: 0.000 0.500 0.758
W: 0.500 0.000 0.758